Crystalline Ac5Pm2Tl4 at its relaxed geometry, computed with PBE.

Cell lengths 3.8658, 9.1123, 12.8440 Å; angles 111.75, 98.66, 90.00 degrees
With the nearest neighbours (Å) after each atom.
Fractional positions:
Ac1 0.1692 0.9122 0.3385  3 Tl 3.62-3.69, 3 Pm 3.82-3.91, 3 Ac 3.87-4.04
Ac2 0.8308 0.0878 0.6615  3 Tl 3.62-3.69, 3 Pm 3.82-3.91, 3 Ac 3.87-4.04
Ac3 0.1278 0.2995 0.2555  3 Pm 3.52-3.74, 3 Tl 3.53-3.61, 4 Ac 3.87-3.88
Ac4 0.5000 0.0000 0.0000  4 Tl 3.49, 6 Ac 3.87-3.88
Ac5 0.8722 0.7005 0.7445  3 Pm 3.52-3.74, 3 Tl 3.53-3.61, 4 Ac 3.87-3.88
Pm1 0.7273 0.6437 0.4546  1 Tl 3.33, 1 Ac 3.52
Pm2 0.2727 0.3563 0.5454  1 Tl 3.33, 1 Ac 3.52
Tl1 0.5882 0.5656 0.1763  4 Tl 3.23-3.40, 1 Pm 3.33, 4 Ac 3.53-3.62
Tl2 0.0140 0.6977 0.0280  5 Tl 3.23-3.40, 3 Ac 3.49-3.61
Tl3 0.4118 0.4344 0.8237  4 Tl 3.23-3.40, 1 Pm 3.33, 4 Ac 3.53-3.62
Tl4 0.9860 0.3023 0.9720  5 Tl 3.23-3.40, 3 Ac 3.49-3.61

V: 415 Å³ per cell
Formation energy: -0.0238 eV per atom
DFT total energy: -3.615 eV per atom
Mass density: 8.98 g/cm3
Space group: No. 12